Record 1
The following is a DFT calculation (PBE-GGA) of CdRe2P after structural relaxation.

Computed properties:
As for the offset from the most stable computed form: 0.066 eV/atom. For the formation energy, the calculation gives 0.24 eV/atom. The value obtained for the total energy is -7.570 eV per atom.

abc: 2.967 2.967 7.031
angles: 90.00 90.00 90.00
Positions (direct):
Cd  0.500  0.500  0.250
P  0.500  0.500  0.750
Re  0.000  0.000  0.937
Re  0.000  0.000  0.563

=====

Record 2
The following is a DFT calculation (PBE-GGA) of Cd3ReP after structural relaxation.

Computed properties:
As for the offset from the most stable computed form: 0.120 eV/atom. For the formation energy, the calculation gives 1.48 eV/atom. The value obtained for the total energy is -2.644 eV per atom.

abc: 5.251 5.251 5.251
angles: 90.00 90.00 90.00
Positions (direct):
Re  0.000  0.000  0.000
P  0.500  0.500  0.500
Cd  0.000  0.500  0.000
Cd  0.000  0.000  0.500
Cd  0.500  0.000  0.000

=====

Look up the total energy of the first one. -7.570 eV per atom

=====

Which value of offset from the most stable computed form does entry 2 give? 0.120 eV/atom

=====

What is the formula in the first record? CdRe2P